Version i
Below is crystalline SbTe2F at its relaxed geometry, with properties calculated at the PBE level.

Properties
Space group   I-42d
ρ   5.17 Mg/m³

Unit cell a=10.330 b=10.330 c=7.684 alpha=47.76 beta=47.76 gamma=90.00
Fractional positions:
Sb  0.000  0.000  0.000
Sb  0.750  0.250  0.500
Te  0.707  0.125  0.250
Te  0.043  0.625  0.250
Te  0.375  0.293  0.750
Te  0.875  0.957  0.750
F  0.500  0.500  0.000
F  0.250  0.750  0.500

***

Version ii
Below is crystalline SbTe2F at its relaxed geometry, with properties calculated at the PBE level.

Properties
Space group   R-3m
ρ   5.34 Mg/m³

Unit cell a=8.776 b=8.776 c=8.776 alpha=27.02 beta=27.02 gamma=27.02
Fractional positions:
Sb  0.500  0.500  0.500
Te  0.091  0.091  0.091
Te  0.909  0.909  0.909
F  0.000  0.000  0.000

***

Version iii
Below is crystalline SbTe2F at its relaxed geometry, with properties calculated at the PBE level.

Properties
Space group   R-3m
ρ   6.92 Mg/m³

Unit cell a=10.403 b=10.403 c=10.403 alpha=18.11 beta=18.11 gamma=18.11
Fractional positions:
Sb  0.000  0.000  0.000
Te  0.901  0.901  0.901
Te  0.099  0.099  0.099
F  0.500  0.500  0.500

***

Which structure is the most stable? The one labeled version i.

***

Version i
Below is crystalline Sb3TeF at its relaxed geometry, with properties calculated at the PBE level.

Properties
Space group   Pm-3m
ρ   4.50 Mg/m³

Unit cell a=5.737 b=5.737 c=5.737 alpha=90.00 beta=90.00 gamma=90.00
Fractional positions:
Sb  0.000  0.500  0.000
Sb  0.000  0.000  0.500
Sb  0.500  0.000  0.000
Te  0.000  0.000  0.000
F  0.500  0.500  0.500

***

Version ii
Below is crystalline Sb3TeF at its relaxed geometry, with properties calculated at the PBE level.

Properties
Space group   Pm-3m
ρ   6.68 Mg/m³

Unit cell a=5.029 b=5.029 c=5.029 alpha=90.00 beta=90.00 gamma=90.00
Fractional positions:
Sb  0.000  0.500  0.000
Sb  0.000  0.000  0.500
Sb  0.500  0.000  0.000
Te  0.500  0.500  0.500
F  0.000  0.000  0.000

***

Which structure is the most stable? The one labeled version ii.

***

Version i
Below is crystalline TiSbTe2F at its relaxed geometry, with properties calculated at the PBE level.

Properties
Space group   P4/mmm
ρ   5.21 Mg/m³

Unit cell a=5.177 b=5.177 c=5.273 alpha=90.00 beta=90.00 gamma=90.00
Fractional positions:
Sb  0.000  0.000  0.500
F  0.500  0.500  0.500
Te  0.000  0.500  0.000
Te  0.500  0.000  0.000
Ti  0.000  0.000  0.000

***

Version ii
Below is crystalline TiSbTe2F at its relaxed geometry, with properties calculated at the PBE level.

Properties
Space group   P4/mmm
ρ   6.13 Mg/m³

Unit cell a=5.240 b=5.240 c=4.380 alpha=90.00 beta=90.00 gamma=90.00
Fractional positions:
Sb  0.000  0.000  0.500
F  0.000  0.000  0.000
Te  0.000  0.500  0.000
Te  0.500  0.000  0.000
Ti  0.500  0.500  0.500

***

Which structure is the most stable? The one labeled version i.

***

Version i
Below is crystalline YSb2TeF at its relaxed geometry, with properties calculated at the PBE level.

Properties
Space group   P4/mmm
ρ   4.17 Mg/m³

Unit cell a=5.801 b=5.801 c=5.669 alpha=90.00 beta=90.00 gamma=90.00
Fractional positions:
Y  0.000  0.000  0.000
Sb  0.000  0.500  0.000
Sb  0.500  0.000  0.000
Te  0.000  0.000  0.500
F  0.500  0.500  0.500

***

Version ii
Below is crystalline YSb2TeF at its relaxed geometry, with properties calculated at the PBE level.

Properties
Space group   P4/mmm
ρ   6.30 Mg/m³

Unit cell a=4.678 b=4.678 c=5.765 alpha=90.00 beta=90.00 gamma=90.00
Fractional positions:
Y  0.500  0.500  0.500
Sb  0.000  0.500  0.000
Sb  0.500  0.000  0.000
Te  0.000  0.000  0.500
F  0.000  0.000  0.000

***

Which structure is the most stable? The one labeled version ii.

***

Version i
Below is crystalline ThSbF at its relaxed geometry, with properties calculated at the PBE level.

Properties
Space group   P-6m2
ρ   8.88 Mg/m³

Unit cell a=4.373 b=4.289 c=4.289 alpha=120.00 beta=90.00 gamma=90.00
Fractional positions:
Sb  0.667  0.667  0.333
Th  0.167  0.000  0.000
F  0.167  0.333  0.667

***

Version ii
Below is crystalline ThSbF at its relaxed geometry, with properties calculated at the PBE level.

Properties
Space group   P4/nmm
ρ   9.08 Mg/m³

Unit cell a=4.190 b=4.190 c=15.539 alpha=90.00 beta=90.00 gamma=90.00
Fractional positions:
Sb  0.250  0.750  0.816
Sb  0.250  0.750  0.316
Sb  0.750  0.250  0.184
Sb  0.750  0.250  0.684
F  0.250  0.250  0.500
F  0.250  0.250  0.000
F  0.750  0.750  0.500
F  0.750  0.750  0.000
Th  0.250  0.750  0.606
Th  0.250  0.750  0.106
Th  0.750  0.250  0.394
Th  0.750  0.250  0.894

***

Which structure is the most stable? The one labeled version i.

***

Version i
Below is crystalline TiSb3F at its relaxed geometry, with properties calculated at the PBE level.

Properties
Space group   Pm-3m
ρ   5.25 Mg/m³

Unit cell a=5.150 b=5.150 c=5.150 alpha=90.00 beta=90.00 gamma=90.00
Fractional positions:
Sb  0.000  0.500  0.000
Sb  0.000  0.000  0.500
Sb  0.500  0.000  0.000
F  0.500  0.500  0.500
Ti  0.000  0.000  0.000

***

Version ii
Below is crystalline TiSb3F at its relaxed geometry, with properties calculated at the PBE level.

Properties
Space group   Pm-3m
ρ   6.33 Mg/m³

Unit cell a=4.840 b=4.840 c=4.840 alpha=90.00 beta=90.00 gamma=90.00
Fractional positions:
Sb  0.000  0.500  0.000
Sb  0.000  0.000  0.500
Sb  0.500  0.000  0.000
F  0.000  0.000  0.000
Ti  0.500  0.500  0.500

***

Which structure is the most stable? The one labeled version i.

***

Version i
Below is crystalline TiSbF3 at its relaxed geometry, with properties calculated at the PBE level.

Properties
Space group   Pm-3m
ρ   5.05 Mg/m³

Unit cell a=4.207 b=4.207 c=4.207 alpha=90.00 beta=90.00 gamma=90.00
Fractional positions:
Sb  0.500  0.500  0.500
F  0.000  0.500  0.000
F  0.000  0.000  0.500
F  0.500  0.000  0.000
Ti  0.000  0.000  0.000

***

Version ii
Below is crystalline TiSbF3 at its relaxed geometry, with properties calculated at the PBE level.

Properties
Space group   Pm-3m
ρ   3.81 Mg/m³

Unit cell a=4.622 b=4.622 c=4.622 alpha=90.00 beta=90.00 gamma=90.00
Fractional positions:
Sb  0.000  0.000  0.000
F  0.000  0.500  0.000
F  0.000  0.000  0.500
F  0.500  0.000  0.000
Ti  0.500  0.500  0.500

***

Which structure is the most stable? The one labeled version i.

***

Version i
Below is crystalline Ti3SbF at its relaxed geometry, with properties calculated at the PBE level.

Properties
Space group   Pm-3m
ρ   6.06 Mg/m³

Unit cell a=4.271 b=4.271 c=4.271 alpha=90.00 beta=90.00 gamma=90.00
Fractional positions:
Sb  0.500  0.500  0.500
F  0.000  0.000  0.000
Ti  0.000  0.500  0.000
Ti  0.000  0.000  0.500
Ti  0.500  0.000  0.000

***

Version ii
Below is crystalline Ti3SbF at its relaxed geometry, with properties calculated at the PBE level.

Properties
Space group   Pm-3m
ρ   3.25 Mg/m³

Unit cell a=5.260 b=5.260 c=5.260 alpha=90.00 beta=90.00 gamma=90.00
Fractional positions:
Sb  0.000  0.000  0.000
F  0.500  0.500  0.500
Ti  0.000  0.500  0.000
Ti  0.000  0.000  0.500
Ti  0.500  0.000  0.000

***

Which structure is the most stable? The one labeled version i.